VASP calculation (PBE) on a geometry-optimized Tl2CrHg structure.

Cell lengths 9.9843, 9.9843, 9.9843 Å; angles 19.82, 19.82, 19.82 degrees
With the nearest neighbours (Å) after each atom.
Fractional coordinates of all 4 atoms:
Tl (0.0000, 0.0000, 0.0000)  3 Cr 2.97
Tl (0.2387, 0.2387, 0.2387)  3 Hg 3.36, 9 Tl 3.41-3.44
Cr (0.7417, 0.7417, 0.7417)  3 Hg 2.89, 3 Tl 2.97
Hg (0.4798, 0.4798, 0.4798)  3 Cr 2.89

Calculated values
Symmetry: No. 160
ΔH_f (0 K), eV per atom: 0.37
Excess energy over the best structure of this formula in the dataset, meV per atom: 36
Total magnetic moment, Bohr magnetons per cell: 4.1
N(E_F), states/eV per cell: 2.10


VASP calculation (PBE) on a geometry-optimized TlCrHg2 structure.

Cell lengths 5.5063, 5.5063, 5.5063 Å; angles 131.43, 131.43, 71.14 degrees
With the nearest neighbours (Å) after each atom.
Fractional coordinates of all 4 atoms:
Tl (0.0000, 0.0000, 0.0000)  8 Hg 3.19, 4 Cr 3.20
Cr (0.5000, 0.5000, 0.0000)  8 Hg 3.19, 4 Tl 3.20
Hg (0.2500, 0.7500, 0.5000)  4 Cr 3.19, 4 Tl 3.19, 4 Hg 3.20
Hg (0.7500, 0.2500, 0.5000)  4 Cr 3.19, 4 Tl 3.19, 4 Hg 3.20

Calculated values
Symmetry: No. 139
ΔH_f (0 K), eV per atom: 0.38
Total magnetic moment, Bohr magnetons per cell: 4.3
N(E_F), states/eV per cell: 1.83


VASP calculation (PBE) on a geometry-optimized TlCrHg2 structure.

Cell lengths 5.2205, 5.2205, 5.9053 Å; angles 102.70, 102.70, 37.39 degrees
With the nearest neighbours (Å) after each atom.
Fractional coordinates of all 4 atoms:
Tl (0.0000, 0.0000, 0.0000)  6 Hg 3.14-3.23, 2 Tl 3.35, 4 Cr 3.39
Cr (0.5000, 0.5000, 0.5000)  6 Hg 2.90-3.19
Hg (0.2338, 0.2338, 0.7190)  3 Cr 2.90-3.19, 3 Tl 3.14-3.23, 2 Hg 3.16
Hg (0.7662, 0.7662, 0.2810)  3 Cr 2.90-3.19, 3 Tl 3.14-3.23, 2 Hg 3.16

Calculated values
Symmetry: No. 12
ΔH_f (0 K), eV per atom: 0.35
Total magnetic moment, Bohr magnetons per cell: 4.3
N(E_F), states/eV per cell: 1.39


VASP calculation (PBE) on a geometry-optimized TlCrHg2 structure.

Cell lengths 4.5246, 4.5246, 4.4979 Å; angles 90.00, 90.00, 90.00 degrees
With the nearest neighbours (Å) after each atom.
Fractional coordinates of all 4 atoms:
Tl (0.0000, 0.0000, 0.0000)  8 Hg 3.19, 4 Cr 3.20
Cr (0.5000, 0.5000, 0.0000)  8 Hg 3.19, 4 Tl 3.20
Hg (0.0000, 0.5000, 0.5000)  4 Cr 3.19, 4 Tl 3.19, 4 Hg 3.20
Hg (0.5000, 0.0000, 0.5000)  4 Cr 3.19, 4 Tl 3.19, 4 Hg 3.20

Calculated values
Symmetry: No. 123
ΔH_f (0 K), eV per atom: 0.39
Total magnetic moment, Bohr magnetons per cell: 4.4
N(E_F), states/eV per cell: 2.00


VASP calculation (PBE) on a geometry-optimized TlCrHg2 structure.

Cell lengths 9.6102, 9.6102, 9.6102 Å; angles 20.47, 20.47, 20.47 degrees
With the nearest neighbours (Å) after each atom.
Fractional coordinates of all 4 atoms:
Tl (0.0000, 0.0000, 0.0000)  3 Cr 2.99, 3 Hg 3.27
Cr (0.7463, 0.7463, 0.7463)  3 Hg 2.86, 3 Tl 2.99
Hg (0.2410, 0.2410, 0.2410)  9 Hg 3.17-3.41, 3 Tl 3.27
Hg (0.4865, 0.4865, 0.4865)  3 Cr 2.86, 3 Hg 3.17

Calculated values
Symmetry: No. 160
ΔH_f (0 K), eV per atom: 0.38
Total magnetic moment, Bohr magnetons per cell: 4.2
N(E_F), states/eV per cell: 1.90


VASP calculation (PBE) on a geometry-optimized TlCrHg2 structure.

Cell lengths 5.1038, 5.1038, 5.1038 Å; angles 60.00, 60.00, 60.00 degrees
With the nearest neighbours (Å) after each atom.
Fractional coordinates of all 4 atoms:
Tl (0.0000, 0.0000, 0.0000)  4 Cr 3.13, 4 Hg 3.13
Cr (0.7500, 0.7500, 0.7500)  4 Hg 3.13, 4 Tl 3.13
Hg (0.2500, 0.2500, 0.2500)  4 Hg 3.13, 4 Tl 3.13
Hg (0.5000, 0.5000, 0.5000)  4 Hg 3.13, 4 Cr 3.13

Calculated values
Symmetry: No. 216
ΔH_f (0 K), eV per atom: 0.43
Total magnetic moment, Bohr magnetons per cell: 4.5
N(E_F), states/eV per cell: 3.42


VASP calculation (PBE) on a geometry-optimized Tl2CrHg structure.

Cell lengths 5.7980, 5.7980, 5.7980 Å; angles 133.90, 133.90, 67.24 degrees
With the nearest neighbours (Å) after each atom.
Fractional coordinates of all 4 atoms:
Tl (0.0000, 0.0000, 0.0000)  4 Hg 3.21, 4 Tl 3.31, 4 Cr 3.31
Tl (0.7500, 0.2500, 0.5000)  4 Cr 3.21, 4 Tl 3.31, 4 Hg 3.31
Cr (0.2500, 0.7500, 0.5000)  8 Tl 3.21-3.31, 4 Hg 3.31
Hg (0.5000, 0.5000, 0.0000)  8 Tl 3.21-3.31, 4 Cr 3.31

Calculated values
Symmetry: No. 119
ΔH_f (0 K), eV per atom: 0.42
Excess energy over the best structure of this formula in the dataset, meV per atom: 80
Total magnetic moment, Bohr magnetons per cell: 4.5
N(E_F), states/eV per cell: 1.75


VASP calculation (PBE) on a geometry-optimized Tl2CrHg structure.

Cell lengths 3.6136, 4.7719, 6.1085 Å; angles 90.00, 106.97, 90.00 degrees
With the nearest neighbours (Å) after each atom.
Fractional coordinates of all 4 atoms:
Tl (0.0000, 0.0000, 0.0000)  4 Cr 3.17, 3 Hg 3.17-3.23
Tl (0.3225, 0.5000, 0.6574)  3 Cr 3.03-3.34, 4 Hg 3.21
Cr (0.5873, 0.5000, 0.1766)  2 Hg 2.89, 5 Tl 3.03-3.17
Hg (0.7237, 0.0000, 0.4572)  2 Cr 2.89, 7 Tl 3.17-3.23

Calculated values
Symmetry: No. 6
ΔH_f (0 K), eV per atom: 0.39
Excess energy over the best structure of this formula in the dataset, meV per atom: 52
Total magnetic moment, Bohr magnetons per cell: 4.3
N(E_F), states/eV per cell: 2.10